Below is Hg2W2O7 after structural relaxation, with properties calculated at the PBE+U level.

Relative energy among the computed polymorphs   22.4 meV/atom
SG   P-1, No. 2
Density of states at the Fermi level   0.00 states/eV per cell

```
Hg2W2O7
1.0
5.218 -0.156 -0.155
-1.372 8.966 -0.409
-2.609 -3.268 8.421
W O Hg
4 14 4
direct
0.194 0.466 0.649
0.806 0.534 0.351
0.838 0.682 0.829
0.162 0.318 0.171
0.871 0.570 0.577
0.144 0.264 0.968
0.877 0.437 0.157
0.856 0.736 0.032
0.980 0.255 0.593
0.479 0.699 0.722
0.452 0.563 0.273
0.129 0.430 0.423
0.065 0.875 0.851
0.521 0.301 0.278
0.935 0.125 0.149
0.123 0.563 0.843
0.020 0.745 0.407
0.548 0.437 0.727
0.296 0.839 0.301
0.349 0.982 0.764
0.704 0.161 0.699
0.651 0.018 0.236
```